Li7Mn2Co3O12 after structural relaxation, computed with PBE+U.

Cell lengths 2.977, 5.008, 14.591 Å; angles 81.87, 85.99, 86.97 degrees
Positions (direct):
1 Li 0.000 0.000 0.000
2 Li 0.064 0.413 0.844
3 Li 0.246 0.246 0.498
4 Li 0.428 0.077 0.156
5 Li 0.572 0.923 0.844
6 Li 0.754 0.754 0.502
7 Li 0.936 0.587 0.156
8 Mn 0.343 0.665 0.331
9 Mn 0.657 0.335 0.669
10 Co 0.155 0.835 0.669
11 Co 0.500 0.500 0.000
12 Co 0.845 0.165 0.331
13 O 0.013 0.683 0.929
14 O 0.094 0.120 0.747
15 O 0.224 0.551 0.591
16 O 0.271 0.955 0.408
17 O 0.411 0.369 0.256
18 O 0.458 0.759 0.075
19 O 0.542 0.241 0.925
20 O 0.589 0.631 0.744
21 O 0.729 0.045 0.592
22 O 0.776 0.449 0.409
23 O 0.906 0.880 0.253
24 O 0.987 0.317 0.071

Results
Theoretical density, g/cm³: 4.080
Excess energy over the best structure of this formula in the dataset, meV per atom: 87
DFT total energy, eV/atom: -5.810